# PBE Tb3CeDy2Se6, optimized geometry
data_Tb3CeDy2Se6
_chemical_formula_sum 'Tb3 Ce1 Dy2 Se6'
_cell_length_a 4.088
_cell_length_b 8.256
_cell_length_c 9.175
_cell_angle_alpha 102.92
_cell_angle_beta 102.87
_cell_angle_gamma 90.00
_space_group_name_H-M_alt 'P 1'
_space_group_IT_number 1
_space_group_name_Hall 'P 1'
loop_
_atom_site_label
_atom_site_type_symbol
_atom_site_fract_x
_atom_site_fract_y
_atom_site_fract_z
Se1 Se 0.670 0.086 0.341
Se2 Se 0.330 0.914 0.659
Se3 Se 0.668 0.582 0.336
Se4 Se 0.332 0.418 0.664
Se5 Se 0.001 0.257 0.002
Se6 Se 0.999 0.743 0.998
Tb1 Tb 0.500 0.500 0.000
Tb2 Tb 0.836 0.166 0.672
Tb3 Tb 0.164 0.834 0.328
Dy1 Dy 0.165 0.329 0.329
Dy2 Dy 0.835 0.671 0.671
Ce1 Ce 0.500 0.000 0.000
# - ΔE_f (raw): -1.78 eV per atom
# - Fermi-level density of states: 10.78 states/eV/cell
# - Magnetic moment: 1.10 μB per formula unit